[1]
A relaxed Mg3NbIn crystal. Source: the Alexandria database, functional PBE-GGA.

It has space group Pm-3m (No. 221), with a = 5.464 Å, b = 5.464 Å, c = 5.464 Å, α = 90.00°, β = 90.00° and γ = 90.00°. The asymmetric unit holds Mg at (0.000, 0.000, 0.500), Nb at (0.000, 0.000, 0.000) and In at (0.500, 0.500, 0.500).

Its energy above the most stable polymorph in this dataset is 0.0000 eV per atom. The crystal system is cubic. The formation enthalpy at 0 K comes out at 1009 meV per atom.

[2]
A relaxed HoCd2In3 crystal. Source: the Alexandria database, functional PBE-GGA.

It has space group Cmmm (No. 65), with a = 4.605 Å, b = 13.900 Å, c = 4.553 Å, α = 90.00°, β = 90.00° and γ = 90.00°. The asymmetric unit holds Ho at (0.000, 0.000, 0.000), Cd at (0.000, 0.329, 0.000), In at (0.000, 0.170, 0.500) and In at (0.000, 0.500, 0.500).

The crystal system is orthorhombic. The formation enthalpy at 0 K comes out at -215 meV per atom.

[3]
A relaxed Ba6Bi6O17 crystal. Source: the Alexandria database, functional PBE-GGA.

It has space group Immm (No. 71), with a = 6.330 Å, b = 8.748 Å, c = 19.085 Å, α = 90.00°, β = 90.00° and γ = 90.00°. The asymmetric unit holds Ba at (0.000, 0.000, 0.000), Ba at (0.000, 0.000, 0.324), Ba at (0.000, 0.500, 0.000), Ba at (0.000, 0.500, 0.325), Bi at (0.000, 0.246, 0.165), Bi at (0.000, 0.251, 0.500), O at (0.000, 0.000, 0.182), O at (0.000, 0.000, 0.500), O at (0.000, 0.500, 0.155), O at (0.248, 0.220, 0.083) and O at (0.250, 0.250, 0.250).

The crystal system is orthorhombic. The formation energy without anion corrections comes out at -1799 meV/atom.

[4]
A relaxed Rb2AsAuS crystal. Source: the Alexandria database, functional PBE-GGA.

It has space group P4/mmm (No. 123), with a = 6.658 Å, b = 6.658 Å, c = 4.599 Å, α = 90.00°, β = 90.00° and γ = 90.00°. The asymmetric unit holds Rb at (0.000, 0.500, 0.000), As at (0.000, 0.000, 0.500), Au at (0.500, 0.500, 0.000) and S at (0.500, 0.500, 0.500).

The crystal system is tetragonal. The formation energy without anion corrections comes out at -63 meV/atom.

[5]
A relaxed Pu2SeN crystal. Source: the Alexandria database, functional PBE-GGA.

It has space group R-3m (No. 166, hexagonal axes), with a = 3.7348 Å, b = 3.7348 Å, c = 19.6069 Å, α = 90.00°, β = 90.00° and γ = 120.00°. The asymmetric unit holds Pu at (0.0000, 0.0000, 0.2331), Se at (0.0000, 0.0000, 0.0000) and N at (0.0000, 0.0000, 0.5000).

Its energy above the most stable polymorph in this dataset is 0.0000 eV per atom. The crystal system is trigonal. The formation energy without anion corrections comes out at -1320 meV/atom.

[6]
A relaxed Tb2Y3Cd crystal. Source: the Alexandria database, functional PBE-GGA.

It has space group P4/mmm (No. 123), with a = 3.580 Å, b = 3.580 Å, c = 14.198 Å, α = 90.00°, β = 90.00° and γ = 90.00°. The asymmetric unit holds Tb at (0.000, 0.000, 0.177), Y at (0.500, 0.500, 0.000), Y at (0.500, 0.500, 0.354) and Cd at (0.000, 0.000, 0.500).

Its energy above the most stable polymorph in this dataset is 0.0000 eV per atom. The crystal system is tetragonal. The formation enthalpy at 0 K comes out at -99 meV per atom.

[7]
A relaxed LiEr2AgS4 crystal. Source: the Alexandria database, functional PBE-GGA.

It has space group P2/m (No. 10), with a = 6.608 Å, b = 3.937 Å, c = 6.803 Å, α = 90.00°, β = 109.90° and γ = 90.00°. The asymmetric unit holds Li at (0.000, 0.000, 0.000), Er at (0.500, 0.000, 0.500), Er at (0.500, 0.500, 0.000), Ag at (0.000, 0.500, 0.500), S at (0.258, 0.500, 0.250) and S at (0.259, 0.000, 0.758).

The crystal system is monoclinic. The formation energy without anion corrections comes out at -1568 meV/atom.

[8]
A relaxed CuNiSe2 crystal. Source: the Alexandria database, functional PBE-GGA.

It has space group Pnma (No. 62), with a = 6.622 Å, b = 3.418 Å, c = 12.710 Å, α = 90.00°, β = 90.00° and γ = 90.00°. The asymmetric unit holds Cu at (0.082, 0.250, 0.136), Ni at (0.064, 0.750, 0.417), Se at (0.065, 0.750, 0.692) and Se at (0.218, 0.750, 0.981).

The crystal system is orthorhombic. The formation energy without anion corrections comes out at -117 meV/atom.

Number 1: uncorrected energy -2.51 eV/atom. Number 2: uncorrected energy -2.65 eV/atom. Number 3: uncorrected energy -5.91 eV/atom. Number 4: uncorrected energy -2.86 eV/atom. Number 5: uncorrected energy -11.44 eV/atom. Number 6: uncorrected energy -5.03 eV/atom. Number 7: uncorrected energy -5.37 eV/atom. Number 8: uncorrected energy -4.33 eV/atom.